Density functional theory data (GGA+U) for an optimized crystal structure of MnSnTeO6.

The space group is P-31c (No. 163) and the conventional cell measures 5.3065, 5.3065 and 9.4206 Å, with angles of 90.00, 90.00 and 120.00 degrees. Symmetry generates all atoms from Mn at (0.0000, 0.0000, 0.0000), Sn at (0.3333, 0.6667, 0.2500), Te at (0.3333, 0.6667, 0.7500) and O at (0.0191, 0.3661, 0.6343).

Its total energy is -113.39 eV per cell.